## K3LaSb2O9 (GGA-PBE)

Data for an optimized crystal structure of K3LaSb2O9.

a b c (Å): 5.9773 5.9773 7.5028
angles (deg): 90.00 90.00 120.00
Sites, in units of the cell vectors:
K: 0.0000 0.0000 0.0000
K: 0.3333 0.6667 0.6739
K: 0.6667 0.3333 0.3261
La: 0.0000 0.0000 0.5000
Sb: 0.3333 0.6667 0.1532
Sb: 0.6667 0.3333 0.8468
O: 0.0000 0.5000 0.0000
O: 0.1777 0.3555 0.3038
O: 0.1777 0.8223 0.3038
O: 0.3555 0.1777 0.6962
O: 0.5000 0.0000 0.0000
O: 0.5000 0.5000 0.0000
O: 0.6445 0.8223 0.3038
O: 0.8223 0.1777 0.6962
O: 0.8223 0.6445 0.6962

Output
The calculation puts the calculated density at 4.604 g cm⁻³. The energy relative to the elements, uncorrected comes out at -25.42 eV/f.u.